The following is a DFT calculation (PBE-GGA) of crystalline CaPmEuEr at its relaxed geometry.

Results
- Formation energy: 0.137 eV/atom
- E: -5.261 eV/atom

abc: 5.886 5.886 5.886
angles: 60.00 60.00 60.00
Site moments in Bohr magnetons follow the coordinates.
Element x y z (fractional)
Eu: 0.000 0.000 0.000  6.86
Ca: 0.250 0.250 0.250  0.01
Er: 0.750 0.750 0.750  0.04
Pm: 0.500 0.500 0.500  0.00